(1)
First-principles (PBE-GGA) data for an optimized crystal structure of Ac4Hg2Pd5, as listed in Alexandria via LeMat-Bulk.

Summary:
**Energy of formation**: -0.71 eV/atom
**Volume**: 292.35 Å³ per cell
**E**: -50.835 eV per cell

Unit cell a=4.2877 b=7.7382 c=8.8117 alpha=90.58 beta=90.00 gamma=90.00
Closest atoms and distances in Å follow each position.
Positions (direct):
1 Ac 0.5000 0.2764 0.6341  4 Pd 3.02-3.21
2 Ac 0.5000 0.7485 0.8898  6 Pd 3.05-3.27, 2 Hg 3.32
3 Ac 0.5000 0.7236 0.3659  4 Pd 3.02-3.21
4 Ac 0.5000 0.2515 0.1102  6 Pd 3.05-3.27, 2 Hg 3.32
5 Hg 0.0000 0.9109 0.6407  2 Pd 2.79-2.81, 1 Hg 2.85
6 Hg 0.0000 0.0891 0.3593  2 Pd 2.79-2.81, 1 Hg 2.85
7 Pd 0.0000 0.4509 0.3313  1 Hg 2.81, 2 Pd 2.95-3.06, 2 Ac 3.02
8 Pd 0.0000 0.8504 0.1201  1 Hg 2.79, 1 Pd 2.90, 2 Ac 3.05
9 Pd 0.0000 0.5000 0.0000  4 Pd 2.90-2.95, 4 Ac 3.05
10 Pd 0.0000 0.1496 0.8799  1 Hg 2.79, 1 Pd 2.90, 2 Ac 3.05
11 Pd 0.0000 0.5491 0.6687  1 Hg 2.81, 2 Pd 2.95-3.06, 2 Ac 3.02

***

(2)
First-principles (PBE-GGA) data for an optimized crystal structure of LaInHgPb, as listed in Alexandria via LeMat-Bulk.

Summary:
**Energy of formation**: -0.46 eV/atom
**Volume**: 112.34 Å³ per cell
**E**: -13.507 eV per cell

Unit cell a=4.7559 b=4.7776 c=4.9442 alpha=90.00 beta=90.00 gamma=90.00
Closest atoms and distances in Å follow each position.
Positions (direct):
1 La 0.5000 0.5000 0.0000  4 Pb 3.37, 4 Hg 3.43, 4 In 3.44
2 In 0.5000 0.0000 0.5000  4 Hg 3.37, 4 Pb 3.43, 4 La 3.44
3 Hg 0.0000 0.5000 0.5000  4 In 3.37, 4 La 3.43, 4 Pb 3.44
4 Pb 0.0000 0.0000 0.0000  4 La 3.37, 4 In 3.43, 4 Hg 3.44

***

(3)
First-principles (PBE-GGA) data for an optimized crystal structure of Sm3Ga3Rh, as listed in Alexandria via LeMat-Bulk.

Summary:
**Energy of formation**: -0.69 eV/atom
**Volume**: 325.50 Å³ per cell
**E**: -70.821 eV per cell

Unit cell a=4.3516 b=5.9464 c=13.7013 alpha=84.55 beta=80.86 gamma=68.54
Closest atoms and distances in Å follow each position.
Positions (direct):
1 Sm 0.5258 0.3294 0.6190  6 Ga 3.06-3.30, 4 Rh 3.17-3.28
2 Sm 0.4742 0.6706 0.3810  6 Ga 3.06-3.30, 4 Rh 3.17-3.28
3 Sm 0.2617 0.2407 0.2359  6 Ga 3.04-3.29, 2 Rh 3.23
4 Sm 0.7383 0.7593 0.7641  6 Ga 3.04-3.29, 2 Rh 3.23
5 Sm 0.3912 0.2943 0.9233  7 Ga 3.11-3.22
6 Sm 0.6088 0.7057 0.0767  7 Ga 3.11-3.22
7 Ga 0.8595 0.7414 0.5396  3 Rh 2.52-2.59
8 Ga 0.1405 0.2586 0.4604  3 Rh 2.52-2.59
9 Ga 0.1062 0.8644 0.9232  2 Ga 2.61-2.65
10 Ga 0.8938 0.1356 0.0768  2 Ga 2.61-2.65
11 Ga 0.9653 0.8352 0.2341  1 Ga 2.65, 1 Rh 2.71
12 Ga 0.0347 0.1648 0.7659  1 Ga 2.65, 1 Rh 2.71
13 Rh 0.7576 0.0820 0.4028  4 Ga 2.52-2.71
14 Rh 0.2424 0.9180 0.5972  4 Ga 2.52-2.71

***

(4)
First-principles (PBE-GGA) data for an optimized crystal structure of Pm7Hg2Pb2, as listed in Alexandria via LeMat-Bulk.

Summary:
**Energy of formation**: -0.12 eV/atom
**Volume**: 370.14 Å³ per cell
**E**: -42.583 eV per cell

Unit cell a=7.1442 b=7.6355 c=7.1442 alpha=90.00 beta=108.24 gamma=90.00
Closest atoms and distances in Å follow each position.
Positions (direct):
1 Pm 0.9998 0.2845 0.5003  2 Hg 3.04, 1 Pm 3.29, 2 Pb 3.37-3.38
2 Pm 0.5003 0.7155 0.9998  2 Hg 3.04, 1 Pm 3.29, 2 Pb 3.37-3.38
3 Pm 0.0002 0.7155 0.4997  2 Hg 3.04, 1 Pm 3.29, 2 Pb 3.37-3.38
4 Pm 0.4997 0.2845 0.0002  2 Hg 3.04, 1 Pm 3.29, 2 Pb 3.37-3.38
5 Pm 0.0000 0.0000 0.0000  2 Hg 3.26
6 Pm 0.5002 0.7539 0.4998  2 Hg 3.15, 2 Pb 3.29
7 Pm 0.4998 0.2461 0.5002  2 Hg 3.15, 2 Pb 3.29
8 Hg 0.7183 0.0000 0.2817  7 Pm 3.04-3.26
9 Hg 0.2817 0.0000 0.7183  7 Pm 3.04-3.26
10 Pb 0.8173 0.5000 0.8173  1 Pb 3.06, 6 Pm 3.29-3.38
11 Pb 0.1827 0.5000 0.1827  1 Pb 3.06, 6 Pm 3.29-3.38

***

(5)
First-principles (PBE-GGA) data for an optimized crystal structure of Ba2SrSm2Hg5, as listed in Alexandria via LeMat-Bulk.

Summary:
**Energy of formation**: -0.39 eV/atom
**Volume**: 667.81 Å³ per cell
**E**: -40.723 eV per cell

Unit cell a=4.3130 b=12.4433 c=12.4433 alpha=90.00 beta=90.00 gamma=90.00
Closest atoms and distances in Å follow each position.
Positions (direct):
1 Ba 0.0000 0.6748 0.1748  3 Sm 3.54-3.77, 6 Hg 3.76-3.86
2 Ba 0.0000 0.3252 0.8252  3 Sm 3.54-3.77, 6 Hg 3.76-3.86
3 Ba 0.0000 0.1748 0.3252  3 Sm 3.54-3.77, 6 Hg 3.76-3.86
4 Ba 0.0000 0.8252 0.6748  3 Sm 3.54-3.77, 6 Hg 3.76-3.86
5 Sr 0.0000 0.0000 0.0000  8 Hg 3.41
6 Sr 0.0000 0.5000 0.5000  8 Hg 3.41
7 Sm 0.0000 0.1240 0.6240  6 Hg 3.07-3.15
8 Sm 0.0000 0.8760 0.3760  6 Hg 3.07-3.15
9 Sm 0.0000 0.6240 0.8760  6 Hg 3.07-3.15
10 Sm 0.0000 0.3760 0.1240  6 Hg 3.07-3.15
11 Hg 0.5000 0.2002 0.0695  2 Sm 3.15, 2 Sr 3.41
12 Hg 0.5000 0.7998 0.9305  2 Sm 3.15, 2 Sr 3.41
13 Hg 0.5000 0.0695 0.7998  2 Sm 3.15, 2 Sr 3.41
14 Hg 0.5000 0.7002 0.4305  2 Sm 3.15, 2 Sr 3.41
15 Hg 0.5000 0.9305 0.2002  2 Sm 3.15, 2 Sr 3.41
16 Hg 0.5000 0.2998 0.5695  2 Sm 3.15, 2 Sr 3.41
17 Hg 0.5000 0.5695 0.7002  2 Sm 3.15, 2 Sr 3.41
18 Hg 0.5000 0.4305 0.2998  2 Sm 3.15, 2 Sr 3.41
19 Hg 0.5000 0.5000 0.0000  4 Sm 3.07
20 Hg 0.5000 0.0000 0.5000  4 Sm 3.07

***

(6)
First-principles (PBE-GGA) data for an optimized crystal structure of Be16Cr2B, as listed in Alexandria via LeMat-Bulk.

Summary:
**Energy of formation**: -0.04 eV/atom
**Volume**: 155.70 Å³ per cell
**E**: -86.214 eV per cell

Unit cell a=5.4229 b=5.4229 c=5.4229 alpha=82.48 beta=82.48 gamma=82.48
Closest atoms and distances in Å follow each position.
Positions (direct):
1 Be 0.6944 0.0014 0.3071  8 Be 2.08-2.20
2 Be 0.0014 0.3071 0.6944  8 Be 2.08-2.20
3 Be 0.3071 0.6944 0.0014  8 Be 2.08-2.20
4 Be 0.0014 0.6944 0.3071  8 Be 2.08-2.20
5 Be 0.6944 0.3071 0.0014  8 Be 2.08-2.20
6 Be 0.3071 0.0014 0.6944  8 Be 2.08-2.20
7 Be 0.3474 0.8403 0.3474  9 Be 2.06-2.30
8 Be 0.8403 0.3474 0.3474  9 Be 2.06-2.30
9 Be 0.3474 0.3474 0.8403  9 Be 2.06-2.30
10 Be 0.6561 0.1586 0.6561  8 Be 2.06-2.18, 1 B 2.19
11 Be 0.1586 0.6561 0.6561  8 Be 2.06-2.18, 1 B 2.19
12 Be 0.6561 0.6561 0.1586  8 Be 2.06-2.18, 1 B 2.19
13 Be 0.9984 0.5042 0.9984  9 Be 2.06-2.25, 1 B 2.13
14 Be 0.5042 0.9984 0.9984  9 Be 2.06-2.25, 1 B 2.13
15 Be 0.9984 0.9984 0.5042  9 Be 2.06-2.25, 1 B 2.13
16 Be 0.0876 0.0876 0.0876  1 B 2.08, 6 Be 2.25-2.30
17 Cr 0.6729 0.6729 0.6729  1 B 2.30, 6 Be 2.49
18 Cr 0.3355 0.3355 0.3355  19 Be 2.48-2.76
19 B 0.8909 0.8909 0.8909  7 Be 2.08-2.19, 1 Cr 2.30

***

(7)
First-principles (PBE-GGA) data for an optimized crystal structure of LaZn3Au, as listed in Alexandria via LeMat-Bulk.

Summary:
**Energy of formation**: -0.45 eV/atom
**Volume**: 103.02 Å³ per cell
**Polymorph energy (0 for the lowest one)**: 3 meV/atom
**E**: -14.281 eV per cell

Unit cell a=4.1974 b=4.2001 c=6.5509 alpha=71.36 beta=71.36 gamma=89.97
Closest atoms and distances in Å follow each position.
Positions (direct):
1 La 0.4010 0.2044 0.9032  4 Au 3.23-3.24, 8 Zn 3.26-3.56
2 Zn 0.6557 0.9590 0.3942  2 Zn 2.59, 2 Au 2.70
3 Zn 0.1553 0.4591 0.3944  2 Zn 2.59, 2 Au 2.70
4 Zn 0.7848 0.5884 0.1348  4 Zn 2.59, 1 Au 2.63
5 Au 0.0109 0.8143 0.6846  5 Zn 2.63-2.70

***

(8)
First-principles (PBE-GGA) data for an optimized crystal structure of SrSb2Ir, as listed in Alexandria via LeMat-Bulk.

Summary:
**Volume**: 102.79 Å³ per cell
**Formation energy from raw total energies**: -0.16 eV/atom
**E**: -19.442 eV per cell

Unit cell a=3.7228 b=3.7228 c=7.4168 alpha=90.00 beta=90.00 gamma=90.00
Closest atoms and distances in Å follow each position.
Positions (direct):
1 Ir 0.5000 0.5000 0.8374  5 Sb 2.75-2.77
2 Sb 0.0000 0.0000 0.9434  4 Ir 2.75
3 Sb 0.5000 0.5000 0.2110  1 Ir 2.77
4 Sr 0.0000 0.0000 0.5082  5 Sb 3.23-3.43, 4 Ir 3.59

***

(9)
First-principles (PBE-GGA) data for an optimized crystal structure of Cd2HI, as listed in Alexandria via LeMat-Bulk.

Summary:
**Volume**: 208.79 Å³ per cell
**E**: -12.726 eV per cell

Unit cell a=5.4352 b=5.4352 c=8.0451 alpha=70.26 beta=70.26 gamma=90.00
Closest atoms and distances in Å follow each position.
Positions (direct):
1 I 0.0000 0.0000 0.0000  4 Cd 3.21
2 I 0.7500 0.2500 0.5000  4 Cd 3.21
3 H 0.5000 0.5000 0.0000  4 Cd 2.27
4 H 0.2500 0.7500 0.5000  4 Cd 2.27
5 Cd 0.4491 0.1250 0.2500  2 H 2.27
6 Cd 0.3009 0.6250 0.2500  2 H 2.27
7 Cd 0.3750 0.5509 0.7500  2 H 2.27
8 Cd 0.8750 0.6991 0.7500  2 H 2.27

***

(10)
First-principles (PBE-GGA) data for an optimized crystal structure of Be3NiPt2, as listed in Alexandria via LeMat-Bulk.

Summary:
**Energy of formation**: -0.67 eV/atom
**Volume**: 64.23 Å³ per cell
**E**: -33.032 eV per cell

Unit cell a=2.7957 b=2.7957 c=8.2183 alpha=90.00 beta=90.00 gamma=90.00
Closest atoms and distances in Å follow each position.
Positions (direct):
1 Be 0.0000 0.0000 0.0000  8 Pt 2.45
2 Be 0.0000 0.0000 0.6451  4 Ni 2.31, 1 Be 2.38, 4 Pt 2.46
3 Be 0.0000 0.0000 0.3549  4 Ni 2.31, 1 Be 2.38, 4 Pt 2.46
4 Ni 0.5000 0.5000 0.5000  8 Be 2.31
5 Pt 0.5000 0.5000 0.8242  8 Be 2.45-2.46, 1 Ni 2.66
6 Pt 0.5000 0.5000 0.1758  8 Be 2.45-2.46, 1 Ni 2.66

***

(11)
First-principles (PBE-GGA) data for an optimized crystal structure of PrNpGa2O8, as listed in Alexandria via LeMat-Bulk.

Summary:
**Volume**: 171.65 Å³ per cell
**Formation energy from raw total energies**: -2.34 eV/atom
**E**: -91.465 eV per cell

Unit cell a=4.8340 b=4.8384 c=7.4612 alpha=89.93 beta=89.93 gamma=79.63
Closest atoms and distances in Å follow each position.
Positions (direct):
1 Pr 0.0000 0.0000 0.5000  6 O 2.40-2.46
2 Np 0.0000 0.0000 0.0000  2 O 1.82
3 Ga 0.4996 0.4996 0.6888  4 O 1.84-1.93
4 Ga 0.5004 0.5004 0.3112  4 O 1.84-1.93
5 O 0.2211 0.7785 0.2259  1 Ga 1.84
6 O 0.7551 0.7559 0.0007  1 Np 1.82
7 O 0.7791 0.2217 0.2259  1 Ga 1.84
8 O 0.7789 0.2215 0.7741  1 Ga 1.84
9 O 0.2449 0.2441 0.9993  1 Np 1.82
10 O 0.2209 0.7783 0.7741  1 Ga 1.84
11 O 0.6764 0.6771 0.5000  2 Ga 1.92-1.93
12 O 0.3236 0.3229 0.5000  2 Ga 1.92-1.93

***

(12)
First-principles (PBE-GGA) data for an optimized crystal structure of MoW2Br, as listed in Alexandria via LeMat-Bulk.

Summary:
**Volume**: 143.62 Å³ per cell
**Polymorph energy (0 for the lowest one)**: 861 meV/atom
**Formation energy from raw total energies**: 1.39 eV/atom
**E**: -65.671 eV per cell

Unit cell a=3.7638 b=3.7638 c=10.4816 alpha=79.66 beta=79.66 gamma=90.00
Closest atoms and distances in Å follow each position.
Positions (direct):
1 Mo 0.0000 0.0000 0.0000  4 Br 2.66, 4 W 2.85
2 Mo 0.7500 0.2500 0.5000  4 Br 2.66, 4 W 2.85
3 Br 0.5000 0.5000 0.0000  4 Mo 2.66, 4 W 2.88
4 Br 0.2500 0.7500 0.5000  4 Mo 2.66, 4 W 2.88
5 W 0.6380 0.1250 0.2500  4 W 2.59-2.73, 2 Mo 2.85, 2 Br 2.88
6 W 0.1120 0.6250 0.2500  4 W 2.59-2.73, 2 Mo 2.85, 2 Br 2.88
7 W 0.3750 0.3620 0.7500  4 W 2.59-2.73, 2 Mo 2.85, 2 Br 2.88
8 W 0.8750 0.8880 0.7500  4 W 2.59-2.73, 2 Mo 2.85, 2 Br 2.88

***

Question: Among the records above, which one has the highest volume?
Answer: Ba2SrSm2Hg5

***

Question: Among the records above, which one has the lowest volume?
Answer: Be3NiPt2